No. 1
A geometry-optimized Tb4InAg2Os structure, computed with GGA-PBE.

The structure in POSCAR format:
```
Tb4InAg2Os
1.0
2.5639 1.4802 8.3468
-2.5639 1.4802 8.3468
0.0000 -2.9605 8.3468
Tb In Ag Os
4 1 2 1
Direct
0.1135 0.1135 0.1135 Tb
0.3667 0.3667 0.3667 Tb
0.6333 0.6333 0.6333 Tb
0.8865 0.8865 0.8865 Tb
0.5000 0.5000 0.5000 In
0.2405 0.2405 0.2405 Ag
0.7595 0.7595 0.7595 Ag
0.0000 0.0000 0.0000 Os
```

volume	23.758	A^3/atom
N(E_F)	3.75	states/eV per cell
energy of formation	-0.37	eV per atom
total magnetization	0.000	μB per formula unit


No. 2
A geometry-optimized InAgTe2Os structure, computed with GGA-PBE.

The structure in POSCAR format:
```
InAgTe2Os
1.0
5.4203 0.0000 0.0000
0.0000 5.4203 0.0000
0.0000 0.0000 5.1505
In Ag Te Os
1 1 2 1
Direct
0.0000 0.0000 0.0000 In
0.0000 0.0000 0.5000 Ag
0.0000 0.5000 0.5000 Te
0.5000 0.0000 0.5000 Te
0.5000 0.5000 0.0000 Os
```

formation energy from raw total energies	1.48	eV/atom
volume	30.264	A^3/atom
N(E_F)	5.63	states/eV per cell
total magnetization	2.905	μB per formula unit


No. 3
A geometry-optimized InAgOsW2 structure, computed with GGA-PBE.

The structure in POSCAR format:
```
InAgOsW2
1.0
4.9553 0.0000 0.0000
0.0000 4.9553 0.0000
0.0000 0.0000 4.7969
In Ag Os W
1 1 1 2
Direct
0.0000 0.0000 0.0000 In
0.5000 0.5000 0.5000 Ag
0.0000 0.0000 0.5000 Os
0.0000 0.5000 0.0000 W
0.5000 0.0000 0.0000 W
```

volume	23.557	A^3/atom
N(E_F)	7.54	states/eV per cell
energy of formation	2.96	eV per atom
total magnetization	0.000	μB per formula unit


No. 4
A geometry-optimized In2AgP structure, computed with GGA-PBE.

The structure in POSCAR format:
```
In2AgP
1.0
-2.2060 2.2060 4.3938
2.2060 -2.2060 4.3938
2.2060 2.2060 -4.3938
In Ag P
2 1 1
Direct
0.0000 0.0000 0.0000 In
0.7500 0.2500 0.5000 In
0.5000 0.5000 0.0000 Ag
0.2500 0.7500 0.5000 P
```

volume	21.382	A^3/atom
N(E_F)	1.83	states/eV per cell
energy of formation	0.26	eV per atom
total magnetization	0.000	μB per formula unit


No. 5
A geometry-optimized In2AgP structure, computed with GGA-PBE.

The structure in POSCAR format:
```
In2AgP
1.0
5.1674 -1.6965 0.0000
5.1674 1.6965 0.0000
-1.7445 0.0000 4.9735
In Ag P
2 1 1
Direct
0.0000 0.0000 0.0000 In
0.1957 0.1957 0.6510 In
0.7659 0.7659 0.1866 Ag
0.4417 0.4417 0.5310 P
```

volume	21.800	A^3/atom
N(E_F)	1.40	states/eV per cell
energy of formation	0.19	eV per atom
total magnetization	0.000	μB per formula unit


No. 6
A geometry-optimized In5AgP8 structure, computed with GGA-PBE.

The structure in POSCAR format:
```
In5AgP8
1.0
5.5354 0.0000 0.0000
0.0000 5.5354 0.0000
0.0000 0.0000 10.8150
In Ag P
5 1 8
Direct
0.0000 0.0000 0.0000 In
0.0000 0.5000 0.2757 In
0.0000 0.5000 0.7243 In
0.5000 0.0000 0.2757 In
0.5000 0.0000 0.7243 In
0.5000 0.5000 0.5000 Ag
0.1908 0.1908 0.5496 P
0.1908 0.8092 0.4504 P
0.3566 0.3566 0.1369 P
0.3566 0.6434 0.8631 P
0.6434 0.3566 0.8631 P
0.6434 0.6434 0.1369 P
0.8092 0.1908 0.4504 P
0.8092 0.8092 0.5496 P
```

volume	23.670	A^3/atom
N(E_F)	4.68	states/eV per cell
energy of formation	0.21	eV per atom
total magnetization	0.000	μB per formula unit


No. 7
A geometry-optimized In2AgP structure, computed with GGA-PBE.

The structure in POSCAR format:
```
In2AgP
1.0
3.6412 0.0000 0.0000
0.0000 3.6412 0.0000
0.0000 0.0000 6.4128
In Ag P
2 1 1
Direct
0.0000 0.0000 0.2387 In
0.0000 0.0000 0.7613 In
0.5000 0.5000 0.5000 Ag
0.5000 0.5000 0.0000 P
```

volume	21.256	A^3/atom
N(E_F)	1.96	states/eV per cell
energy of formation	0.22	eV per atom
total magnetization	0.000	μB per formula unit


No. 8
A geometry-optimized InAg2P2 structure, computed with GGA-PBE.

The structure in POSCAR format:
```
InAg2P2
1.0
8.1361 0.0000 0.0000
0.0000 8.1361 0.0000
0.0000 0.0000 2.8646
In Ag P
2 4 4
Direct
0.0000 0.0000 0.0000 In
0.5000 0.5000 0.0000 In
0.1375 0.3625 0.5000 Ag
0.3625 0.8625 0.5000 Ag
0.6375 0.1375 0.5000 Ag
0.8625 0.6375 0.5000 Ag
0.1614 0.6614 0.0000 P
0.3386 0.1614 0.0000 P
0.6614 0.8386 0.0000 P
0.8386 0.3386 0.0000 P
```

energy relative to the lowest polymorph listed for this composition	172.9	meV/atom
volume	18.963	A^3/atom
N(E_F)	4.06	states/eV per cell
energy of formation	0.31	eV per atom
total magnetization	0.000	μB per formula unit


No. 9
A geometry-optimized In3AgP structure, computed with GGA-PBE.

The structure in POSCAR format:
```
In3AgP
1.0
5.2527 0.0000 0.0000
0.0000 5.2527 0.0000
0.0000 0.0000 5.2527
In Ag P
3 1 1
Direct
0.0000 0.0000 0.5000 In
0.0000 0.5000 0.0000 In
0.5000 0.0000 0.0000 In
0.0000 0.0000 0.0000 Ag
0.5000 0.5000 0.5000 P
```

energy relative to the lowest polymorph listed for this composition	131.1	meV/atom
volume	28.985	A^3/atom
N(E_F)	4.40	states/eV per cell
energy of formation	0.54	eV per atom
total magnetization	0.002	μB per formula unit


No. 10
A geometry-optimized In2AgP structure, computed with GGA-PBE.

The structure in POSCAR format:
```
In2AgP
1.0
2.0263 1.1699 6.5578
-2.0263 1.1699 6.5578
0.0000 -2.3398 6.5578
In Ag P
2 1 1
Direct
0.0000 0.0000 0.0000 In
0.2193 0.2193 0.2193 In
0.7534 0.7534 0.7534 Ag
0.4839 0.4839 0.4839 P
```

volume	23.319	A^3/atom
N(E_F)	1.91	states/eV per cell
energy of formation	0.12	eV per atom
total magnetization	0.000	μB per formula unit


No. 11
A geometry-optimized InAg2P2 structure, computed with GGA-PBE.

The structure in POSCAR format:
```
InAg2P2
1.0
-1.6589 1.6589 8.6951
1.6589 -1.6589 8.6951
1.6589 1.6589 -8.6951
In Ag P
1 2 2
Direct
0.0000 0.0000 0.0000 In
0.3920 0.3920 0.0000 Ag
0.6080 0.6080 0.0000 Ag
0.2500 0.7500 0.5000 P
0.7500 0.2500 0.5000 P
```

energy relative to the lowest polymorph listed for this composition	109.9	meV/atom
volume	19.143	A^3/atom
N(E_F)	2.17	states/eV per cell
energy of formation	0.24	eV per atom
total magnetization	0.000	μB per formula unit


No. 12
A geometry-optimized In2AgP structure, computed with GGA-PBE.

The structure in POSCAR format:
```
In2AgP
1.0
0.0000 3.5355 3.5355
3.5355 0.0000 3.5355
3.5355 3.5355 0.0000
In Ag P
2 1 1
Direct
0.0000 0.0000 0.0000 In
0.2500 0.2500 0.2500 In
0.5000 0.5000 0.5000 Ag
0.7500 0.7500 0.7500 P
```

volume	22.097	A^3/atom
N(E_F)	1.00	states/eV per cell
energy of formation	0.28	eV per atom
total magnetization	0.000	μB per formula unit


No. 13
A geometry-optimized In2AgP structure, computed with GGA-PBE.

The structure in POSCAR format:
```
In2AgP
1.0
2.3034 -2.3070 0.0000
2.3034 2.3070 0.0000
0.0000 0.0000 8.2117
In Ag P
2 1 1
Direct
0.0000 0.0000 0.0000 In
0.5000 0.5000 0.3186 In
0.0000 0.0000 0.5726 Ag
0.5000 0.5000 0.7555 P
```

volume	21.818	A^3/atom
N(E_F)	2.21	states/eV per cell
energy of formation	0.22	eV per atom
total magnetization	0.000	μB per formula unit


No. 14
A geometry-optimized InAg4P structure, computed with GGA-PBE.

The structure in POSCAR format:
```
InAg4P
1.0
0.0000 3.9014 3.9014
3.9014 0.0000 3.9014
3.9014 3.9014 0.0000
In Ag P
1 4 1
Direct
0.0000 0.0000 0.0000 In
0.3750 0.3750 0.3750 Ag
0.3750 0.3750 0.8750 Ag
0.3750 0.8750 0.3750 Ag
0.8750 0.3750 0.3750 Ag
0.7500 0.7500 0.7500 P
```

volume	19.795	A^3/atom
N(E_F)	2.10	states/eV per cell
energy of formation	0.28	eV per atom
total magnetization	0.000	μB per formula unit


No. 15
A geometry-optimized In2AgP structure, computed with GGA-PBE.

The structure in POSCAR format:
```
In2AgP
1.0
3.3551 -1.9389 0.0000
3.3551 1.9389 0.0000
-2.2053 0.0000 6.9896
In Ag P
2 1 1
Direct
0.2407 0.2407 0.2241 In
0.7593 0.7593 0.7759 In
0.0000 0.0000 0.5000 Ag
0.5000 0.5000 0.0000 P
```

volume	22.735	A^3/atom
N(E_F)	1.01	states/eV per cell
energy of formation	0.05	eV per atom
total magnetization	0.000	μB per formula unit


No. 16
A geometry-optimized In2AgP structure, computed with GGA-PBE.

The structure in POSCAR format:
```
In2AgP
1.0
3.9451 0.0000 0.0000
0.0000 3.8432 0.0000
-1.9433 0.0000 5.7843
In Ag P
2 1 1
Direct
0.0000 0.0000 0.0000 In
0.3123 0.5000 0.6235 In
0.5812 0.5000 0.1662 Ag
0.7599 0.0000 0.5188 P
```

volume	21.925	A^3/atom
N(E_F)	1.69	states/eV per cell
energy of formation	0.07	eV per atom
total magnetization	0.000	μB per formula unit


No. 17
A geometry-optimized InAgP4 structure, computed with GGA-PBE.

The structure in POSCAR format:
```
InAgP4
1.0
0.0000 4.1287 4.1287
4.1287 0.0000 4.1287
4.1287 4.1287 0.0000
In Ag P
1 1 4
Direct
0.0000 0.0000 0.0000 In
0.2500 0.2500 0.2500 Ag
0.0388 0.6537 0.6537 P
0.6537 0.0388 0.6537 P
0.6537 0.6537 0.0388 P
0.6537 0.6537 0.6537 P
```

volume	23.460	A^3/atom
N(E_F)	3.18	states/eV per cell
energy of formation	0.49	eV per atom
total magnetization	0.000	μB per formula unit


No. 18
A geometry-optimized In2AgP structure, computed with GGA-PBE.

The structure in POSCAR format:
```
In2AgP
1.0
3.2544 -3.4635 0.0000
3.2544 3.4635 0.0000
-0.0112 0.0000 3.8139
In Ag P
2 1 1
Direct
0.0000 0.5000 0.0000 In
0.5000 0.0000 0.0000 In
0.0000 0.0000 0.5000 Ag
0.5000 0.5000 0.5000 P
```

volume	21.495	A^3/atom
N(E_F)	1.53	states/eV per cell
energy of formation	0.22	eV per atom
total magnetization	0.000	μB per formula unit


No. 19
A geometry-optimized In2AgP2 structure, computed with GGA-PBE.

The structure in POSCAR format:
```
In2AgP2
1.0
7.3890 0.0000 0.0000
0.0000 7.3890 0.0000
0.0000 0.0000 3.8669
In Ag P
4 2 4
Direct
0.1445 0.3555 0.0000 In
0.3555 0.8555 0.0000 In
0.6445 0.1445 0.0000 In
0.8555 0.6445 0.0000 In
0.0000 0.0000 0.5000 Ag
0.5000 0.5000 0.5000 Ag
0.1787 0.6787 0.5000 P
0.3213 0.1787 0.5000 P
0.6787 0.8213 0.5000 P
0.8213 0.3213 0.5000 P
```

energy relative to the lowest polymorph listed for this composition	0.0	meV/atom
volume	21.112	A^3/atom
N(E_F)	3.76	states/eV per cell
energy of formation	0.22	eV per atom
total magnetization	0.000	μB per formula unit


No. 20
A geometry-optimized In2AgP structure, computed with GGA-PBE.

The structure in POSCAR format:
```
In2AgP
1.0
-3.4154 3.4154 4.6759
3.4154 -3.4154 4.6759
3.4154 3.4154 -4.6759
In Ag P
4 2 2
Direct
0.1022 0.6250 0.9772 In
0.3750 0.3522 0.4772 In
0.6478 0.1250 0.0228 In
0.8750 0.8978 0.5228 In
0.2500 0.7500 0.5000 Ag
0.5000 0.5000 0.0000 Ag
0.0000 0.0000 0.0000 P
0.7500 0.2500 0.5000 P
```

volume	27.273	A^3/atom
N(E_F)	0.46	states/eV per cell
energy of formation	0.15	eV per atom
total magnetization	0.000	μB per formula unit